1.
First-principles (PBE-GGA) data for CeMgGaRu after structural relaxation, as listed in Alexandria.

Properties
- calculated total energy (eV per atom) = -5.177
- formation energy from the elements (meV/atom) = -219
- crystal system = cubic

```
CeMgGaRu
1.0
4.7901 0.0000 0.0000
2.3950 4.1483 0.0000
2.3950 1.3828 3.9111
Ru Mg Ga Ce
1 1 1 1
Cartesian
7.1851 4.1483 2.9333 Ru
0.0000 0.0000 0.0000 Mg
2.3950 1.3828 0.9778 Ga
4.7901 2.7656 1.9555 Ce
```

***

2.
First-principles (PBE-GGA) data for CeMgSc2Ga4 after structural relaxation, as listed in Alexandria.

Properties
- calculated total energy (eV per atom) = -4.484
- formation energy from the elements (meV/atom) = -446
- crystal system = trigonal

```
CeMgSc2Ga4
1.0
-3.0958 -0.6202 3.5764
-0.8635 -4.3829 1.6744
4.8552 -0.7836 7.2486
Ce Mg Sc Ga
1 1 2 4
Cartesian
0.0000 0.0000 0.0000 Ce
0.4480 -2.8934 6.2497 Mg
0.5436 -4.3584 9.2603 Sc
0.3523 -1.4283 3.2391 Sc
2.6592 -2.5768 8.2186 Ga
-1.6167 -4.6677 7.3367 Ga
2.5127 -1.1190 5.1628 Ga
-1.7633 -3.2099 4.2808 Ga
```

***

3.
First-principles (PBE-GGA) data for CeMgScGa after structural relaxation, as listed in Alexandria.

Properties
- calculated total energy (eV per atom) = -4.487
- formation energy from the elements (meV/atom) = -265
- crystal system = cubic

```
CeMgScGa
1.0
5.0617 0.0000 0.0000
2.5308 4.3836 0.0000
2.5308 1.4612 4.1329
Sc Mg Ga Ce
1 1 1 1
Cartesian
2.5308 1.4612 1.0332 Sc
0.0000 0.0000 0.0000 Mg
5.0617 2.9224 2.0664 Ga
7.5925 4.3836 3.0996 Ce
```

***

4.
First-principles (PBE-GGA) data for CeMgGaSi after structural relaxation, as listed in Alexandria.

Properties
- calculated total energy (eV per atom) = -4.341
- crystal system = cubic

```
CeMgGaSi
1.0
-3.9527 -0.5046 -2.8233
0.5010 -1.1534 -4.7189
-1.3195 -4.4267 -1.5851
Mg Si Ga Ce
1 1 1 1
Cartesian
-2.3856 -3.0424 -4.5637 Mg
-1.1928 -1.5212 -2.2818 Si
-3.5784 -4.5636 -6.8455 Ga
0.0000 0.0000 0.0000 Ce
```

***

5.
First-principles (PBE-GGA) data for CeMgGaSn after structural relaxation, as listed in Alexandria.

Properties
- calculated total energy (eV per atom) = -4.018
- formation energy from the elements (meV/atom) = -378
- crystal system = cubic
- distance to the lowest polymorph of the same formula (meV per atom) = 80

```
CeMgGaSn
1.0
-1.2757 -3.7683 3.2281
3.6510 -2.5422 2.5408
0.5400 0.6619 5.0516
Mg Ga Sn Ce
1 1 1 1
Cartesian
0.0000 0.0000 0.0000 Mg
0.7288 -1.4122 2.7051 Ga
2.1865 -4.2365 8.1154 Sn
1.4576 -2.8243 5.4103 Ce
```

***

6.
First-principles (PBE-GGA) data for CeMgGaSn after structural relaxation, as listed in Alexandria.

Properties
- calculated total energy (eV per atom) = -4.097
- formation energy from the elements (meV/atom) = -458
- crystal system = orthorhombic
- distance to the lowest polymorph of the same formula (meV per atom) = 0

```
CeMgGaSn
1.0
4.3782 0.0000 0.0000
0.0000 4.6095 0.0000
0.0000 0.0000 4.6828
Ce Mg Ga Sn
1 1 1 1
Cartesian
2.1891 0.0000 2.3414 Ce
2.1891 2.3047 0.0000 Mg
0.0000 2.3047 2.3414 Ga
0.0000 0.0000 0.0000 Sn
```

***

7.
First-principles (PBE-GGA) data for TbCeMgGa after structural relaxation, as listed in Alexandria.

Properties
- calculated total energy (eV per atom) = -4.056
- formation energy from the elements (meV/atom) = -259
- crystal system = cubic

```
TbCeMgGa
1.0
-1.5400 -4.9876 0.1893
1.5980 -3.0804 3.9040
-3.3900 -1.5496 3.6593
Mg Tb Ga Ce
1 1 1 1
Cartesian
-2.4990 -7.2132 5.8144 Mg
-1.6660 -4.8088 3.8763 Tb
-0.8330 -2.4044 1.9381 Ga
0.0000 0.0000 0.0000 Ce
```

***

8.
First-principles (PBE-GGA) data for CeThMgGa after structural relaxation, as listed in Alexandria.

Properties
- calculated total energy (eV per atom) = -4.638
- formation energy from the elements (meV/atom) = -144
- crystal system = cubic

```
CeThMgGa
1.0
5.2868 0.0000 0.0000
2.6434 4.5785 0.0000
2.6434 1.5262 4.3167
Mg Ga Ce Th
1 1 1 1
Cartesian
7.9302 4.5785 3.2375 Mg
2.6434 1.5262 1.0792 Ga
5.2868 3.0523 2.1583 Ce
0.0000 0.0000 0.0000 Th
```

***

9.
First-principles (PBE-GGA) data for CeYMgGa after structural relaxation, as listed in Alexandria.

Properties
- calculated total energy (eV per atom) = -4.528
- formation energy from the elements (meV/atom) = -273
- crystal system = cubic

```
CeYMgGa
1.0
-0.2081 5.0308 -1.3780
-4.2350 2.8397 1.1189
0.2424 3.7196 3.6548
Y Mg Ga Ce
1 1 1 1
Cartesian
-3.1505 8.6926 2.5468 Y
-2.1004 5.7951 1.6978 Mg
0.0000 0.0000 0.0000 Ga
-1.0502 2.8975 0.8489 Ce
```

***

10.
First-principles (PBE-GGA) data for Ce2MgZn4Ga3 after structural relaxation, as listed in Alexandria.

Properties
- calculated total energy (eV per atom) = -3.139
- formation energy from the elements (meV/atom) = -376
- crystal system = tetragonal

```
Ce2MgZn4Ga3
1.0
-0.5224 4.2175 0.5010
-0.0122 -0.5063 4.2491
10.6773 1.3006 0.1857
Ce Mg Zn Ga
2 1 4 3
Cartesian
2.2507 2.4147 0.2942 Ce
8.1593 0.7415 2.2665 Ce
5.0713 2.5059 2.4679 Mg
-0.2673 1.8556 2.3750 Zn
0.0000 0.0000 0.0000 Zn
6.5947 2.9439 0.3697 Zn
3.8152 0.2123 2.1910 Zn
5.3386 0.6503 0.0928 Ga
9.0086 3.2379 0.4117 Ga
1.4013 -0.0817 2.1490 Ga
```

***

11.
First-principles (PBE-GGA) data for CeMgZn2Ga2 after structural relaxation, as listed in Alexandria.

Properties
- calculated total energy (eV per atom) = -3.077
- formation energy from the elements (meV/atom) = -388
- crystal system = trigonal

```
CeMgZn2Ga2
1.0
-2.1459 -3.7714 0.6463
2.9418 0.3228 -3.2384
5.0296 -2.1150 4.3581
Ce Mg Zn Ga
1 1 2 2
Cartesian
0.0000 0.0000 0.0000 Ce
2.5148 -1.0575 2.1790 Mg
3.1690 -3.9285 2.4871 Zn
2.6566 -1.6352 -0.7212 Zn
0.8225 -2.9417 0.4539 Ga
5.0031 -2.6219 1.3120 Ga
```

***

12.
First-principles (PBE-GGA) data for Ce2Mg2Zn4Ga after structural relaxation, as listed in Alexandria.

Properties
- calculated total energy (eV per atom) = -2.515
- formation energy from the elements (meV/atom) = 61
- crystal system = tetragonal

```
Ce2Mg2Zn4Ga
1.0
-1.5568 5.1444 -3.7290
-5.1178 -3.7104 1.6838
2.3421 1.5996 5.8949
Ce Mg Zn Ga
2 2 4 1
Cartesian
-1.8464 -1.4041 5.0413 Ce
-0.9294 -0.7068 2.5375 Ce
-4.0312 0.1893 0.8721 Mg
-0.3013 2.8443 2.9777 Mg
-3.3285 -2.4368 2.6939 Zn
-2.9199 1.0720 3.8208 Zn
0.5527 0.3259 4.8849 Zn
-1.4126 1.9616 0.0290 Zn
0.0000 0.0000 0.0000 Ga
```

***

13.
First-principles (PBE-GGA) data for CeMg2Zn2Ga2 after structural relaxation, as listed in Alexandria.

Properties
- calculated total energy (eV per atom) = -2.850
- formation energy from the elements (meV/atom) = -318
- crystal system = trigonal

```
CeMg2Zn2Ga2
1.0
-2.0829 3.4167 -1.8625
-4.2043 0.8536 1.0377
0.4576 6.3916 5.9834
Ce Mg Zn Ga
1 2 2 2
Cartesian
0.0000 0.0000 0.0000 Ce
-0.5754 4.3815 3.4513 Mg
-5.2541 6.2804 1.7072 Mg
-3.6196 3.9596 0.8518 Zn
-2.2099 6.7023 4.3068 Zn
-4.3316 8.0751 3.9681 Ga
-1.4978 2.5867 1.1904 Ga
```